Entry from Alexandria: crystalline KBaPb2 at its relaxed geometry (PBE-GGA).

CIF file:
```
data_KBaPb2
_chemical_formula_sum 'K1 Ba1 Pb2'
_cell_length_a 11.782
_cell_length_b 11.782
_cell_length_c 11.782
_cell_angle_alpha 19.76
_cell_angle_beta 19.76
_cell_angle_gamma 19.76
_symmetry_space_group_name_H-M 'P 1'
_symmetry_Int_Tables_number 1
_symmetry_space_group_name_Hall 'P 1'
loop_
_atom_site_label
_atom_site_fract_x
_atom_site_fract_y
_atom_site_fract_z
_atom_site_occupancy
K1 0.750 0.750 0.750 1
Pb1 0.999 0.999 0.999 1
Pb2 0.501 0.501 0.501 1
Ba1 0.250 0.250 0.250 1
```

Values from the calculation:
Energy of formation = -0.113 eV/atom
Spin magnetization = 0.0000 μB/atom
N(E_F) = 1.1805 states/eV/atom

=====

Entry from Alexandria: crystalline PPtSeS2 at its relaxed geometry (PBE-GGA).

CIF file:
```
data_PPtSeS2
_chemical_formula_sum 'P1 Pt1 Se1 S2'
_cell_length_a 4.763
_cell_length_b 4.763
_cell_length_c 4.585
_cell_angle_alpha 90.00
_cell_angle_beta 90.00
_cell_angle_gamma 90.00
_symmetry_space_group_name_H-M 'P 1'
_symmetry_Int_Tables_number 1
_symmetry_space_group_name_Hall 'P 1'
loop_
_atom_site_label
_atom_site_fract_x
_atom_site_fract_y
_atom_site_fract_z
_atom_site_occupancy
S1 0.500 0.000 0.000 1
S2 0.000 0.500 0.000 1
Se1 0.500 0.500 0.500 1
Pt1 0.000 0.000 0.000 1
P1 0.000 0.000 0.500 1
```

Values from the calculation:
Final energy = -19.428 eV for the cell shown
Spin magnetization = 0.0000 μB/atom
N(E_F) = 0.9892 states/eV/atom